Entry from Alexandria via LeMat-Bulk: GeMoPRh2 after structural relaxation (PBE-GGA).

a b c (Å): 4.736 4.592 4.736
angles (deg): 90.00 90.00 90.00
Fractional positions:
P (0.000, 0.500, 0.000)
Mo (0.000, 0.000, 0.000)
Rh (0.000, 0.000, 0.500)
Rh (0.500, 0.000, 0.000)
Ge (0.500, 0.500, 0.500)

Results
As for the crystal system: tetragonal. As for the total energy: -6.2188 eV/atom. The calculated volume is 103.0 Å³/f.u. The energy of formation is 20.6 kcal/mol of atoms.

Entry from Alexandria via LeMat-Bulk: ScTe4Pt after structural relaxation (PBE-GGA).

a b c (Å): 6.132 6.132 6.132
angles (deg): 60.00 60.00 60.00
Fractional positions:
Sc (0.000, 0.000, 0.000)
Te (0.872, 0.376, 0.376)
Te (0.376, 0.376, 0.872)
Te (0.376, 0.872, 0.376)
Te (0.376, 0.376, 0.376)
Pt (0.750, 0.750, 0.750)

Results
As for the crystal system: cubic. As for the formation energy (no corrections): 3.05 eV per formula unit. As for the total energy: -3.6486 eV/atom. The calculated volume is 163.0 Å³/f.u.